# CdGe5P4

Crystalline CdGe5P4 at its relaxed geometry (PBE, Alexandria via LeMat-Bulk).

Properties
The calculation puts the formation energy at 0.170 eV per atom. Its density of states at the Fermi level is 2.017 states/eV/f.u. The value obtained for the total moment is 0.0 Bohr magnetons per cell.

a = 7.815 Å, b = 10.828 Å, c = 5.186 Å
α = 90.00°, β = 90.00°, γ = 90.00°
Space group Pmmn (No. 59, origin choice 2)
Symmetry-distinct sites (fractional):
1 Cd 0.250 0.250 0.187 x2
2 Ge 0.009 0.559 0.293 x8
3 Ge 0.250 0.750 0.834 x2
4 P 0.020 0.750 0.515 x4
5 P 0.250 0.014 0.983 x4